# 1
Computed, not measured: TaRu2W after structural relaxation at the PBE level of DFT.

Cell: 3.762 4.018 8.294 Å, 90.00 90.00 90.00°
Space group Cmm2 (No. 35)
One atom of each set of equivalent atoms:
Ta (0.000, 0.000, 0.000) x2
Ru (0.000, 0.000, 0.525) x2
Ru (0.000, 0.500, 0.739) x2
W (0.000, 0.500, 0.276) x2

## Properties
ΔH_f (0 K) ... 30 kJ/mol of formula units
Volume ... 15.673 Å³ per atom


# 2
Computed, not measured: LaHfTe2N after structural relaxation at the PBE level of DFT.

Cell: 5.707 5.707 4.066 Å, 90.00 90.00 90.00°
Space group P4/mmm (No. 123)
One atom of each set of equivalent atoms:
La (0.000, 0.000, 0.000) x1
Hf (0.500, 0.500, 0.500) x1
Te (0.000, 0.500, 0.500) x2
N (0.500, 0.500, 0.000) x1

## Properties
Uncorrected formation energy ... -0.850 eV/atom
Volume ... 26.489 Å³ per atom